Material: BaLiCo2
Method: DFT, PBE
State: optimized geometry

abc: 5.3442 9.2160 3.2244
angles: 90.00 109.29 90.00
Closest atoms and distances in Å follow each position.
Space group C2/m (No. 12)
Symmetry-distinct sites (fractional):
1 Ba 0.0000 0.0000 0.0000 [2 per cell]  2 Li 2.67, 4 Co 2.88
2 Li 0.0000 0.5000 0.0000 [2 per cell]  2 Ba 2.67, 4 Co 2.88
3 Co 0.2500 0.2500 0.5000 [4 per cell]  2 Co 2.67, 2 Ba 2.88, 2 Li 2.88

Summary:
**Formation energy from the elements**: 0.837 eV/atom
**ΔE to the lowest computed polymorph**: 581 meV/atom

=====

Material: SrTePt2
Method: DFT, PBE
State: optimized geometry

abc: 4.4975 4.6832 5.0302
angles: 90.00 96.87 90.00
Closest atoms and distances in Å follow each position.
Space group Pm (No. 6)
Symmetry-distinct sites (fractional):
1 Sr 0.0000 0.0000 0.0000 [1 per cell]  7 Pt 3.12-3.49
2 Te 0.5925 0.5000 0.3465 [1 per cell]  4 Pt 2.56-2.67
3 Pt 0.4313 0.5000 0.8408 [1 per cell]  2 Te 2.56-2.67, 2 Pt 2.78
4 Pt 0.4623 0.0000 0.5464 [1 per cell]  2 Te 2.64, 2 Pt 2.78

Summary:
**ΔE to the lowest computed polymorph**: 0 meV/atom

=====

Material: GaPd14Pt
Method: DFT, PBE
State: optimized geometry

abc: 9.1357 5.5792 9.6193
angles: 90.00 90.00 90.00
Closest atoms and distances in Å follow each position.
Space group Amm2 (No. 38)
Symmetry-distinct sites (fractional):
1 Ga 0.0000 0.0000 0.0000 [2 per cell]  10 Pd 2.76-2.80, 2 Pt 2.79
2 Pd 0.0000 0.2491 0.2524 [4 per cell]  2 Pt 2.76-2.80, 2 Ga 2.76-2.80, 8 Pd 2.78-2.80
3 Pd 0.2460 0.2480 0.0828 [8 per cell]  1 Ga 2.76, 10 Pd 2.76-2.83, 1 Pt 2.77
4 Pd 0.2476 0.0000 0.8348 [4 per cell]  11 Pd 2.76-2.82, 1 Ga 2.76
5 Pd 0.2513 0.0000 0.3340 [4 per cell]  11 Pd 2.78-2.80, 1 Pt 2.80
6 Pd 0.5000 0.0000 0.1657 [2 per cell]  12 Pd 2.77-2.82
7 Pd 0.5000 0.0000 0.6656 [2 per cell]  12 Pd 2.78-2.83
8 Pd 0.5000 0.2493 0.9162 [4 per cell]  12 Pd 2.77-2.82
9 Pt 0.0000 0.0000 0.5006 [2 per cell]  10 Pd 2.76-2.80, 2 Ga 2.79

Summary:
**Formation energy from the elements**: -0.107 eV/atom

=====

Material: Tl2Pb2I
Method: DFT, PBE
State: optimized geometry

abc: 9.1418 9.1418 4.1066
angles: 90.00 90.00 90.00
Closest atoms and distances in Å follow each position.
Space group P4/mbm (No. 127)
Symmetry-distinct sites (fractional):
1 Tl 0.1773 0.3227 0.0000 [4 per cell]  6 Pb 3.27-3.48
2 Pb 0.1263 0.6263 0.5000 [4 per cell]  6 Tl 3.27-3.48, 1 Pb 3.27, 2 I 3.61
3 I 0.0000 0.0000 0.5000 [2 per cell]  4 Pb 3.61, 8 Tl 3.94

Summary:
**ΔE to the lowest computed polymorph**: 28 meV/atom

=====

Material: Ba5OsO8
Method: DFT, PBE
State: optimized geometry

abc: 7.9378 7.9378 9.4562
angles: 90.00 90.00 90.00
Closest atoms and distances in Å follow each position.
Space group I-4 (No. 82)
Symmetry-distinct sites (fractional):
1 Ba 0.0000 0.0000 0.0000 [2 per cell]  4 O 2.65
2 Ba 0.0979 0.7196 0.3909 [8 per cell]  3 O 2.47-2.68
3 Os 0.0000 0.5000 0.7500 [2 per cell]  4 O 1.81
4 O 0.0179 0.7158 0.6904 [8 per cell]  1 Os 1.81
5 O 0.0721 0.7062 0.1174 [8 per cell]  4 Ba 2.47-2.68

=====

Material: Ca2Mn2P2N
Method: DFT, PBE
State: optimized geometry

abc: 3.8608 3.8608 14.4605
angles: 90.00 90.00 90.00
Closest atoms and distances in Å follow each position.
Space group I4/mmm (No. 139)
Symmetry-distinct sites (fractional):
1 Ca 0.0000 0.0000 0.1659 [4 per cell]  1 N 2.40
2 Mn 0.0000 0.5000 0.0000 [4 per cell]  2 N 1.93
3 P 0.0000 0.0000 0.3904 [4 per cell]  4 Mn 2.50
4 N 0.0000 0.0000 0.0000 [2 per cell]  4 Mn 1.93

=====

no.,M_tot (μB/cell),calculated density (g cm⁻³),E (eV/atom)
1,5.30,5.81,-3.675
2,0.00,9.56,-4.930
3,0.00,11.89,-5.217
4,0.00,9.19,-2.781
5,0.00,5.60,-6.373
6,2.54,4.10,-6.608